1.
A plane-wave DFT calculation with PBE-GGA was carried out for Y4ErTmSc2 after structural relaxation.

Cell: 4.939 4.939 9.751 Å, 90.00 90.00 90.00°
Fractional coordinates of all 8 atoms:
Y: 0.000 0.500 0.250
Y: 0.000 0.500 0.750
Y: 0.500 0.000 0.250
Y: 0.500 0.000 0.750
Er: 0.000 0.000 0.000
Tm: 0.500 0.500 0.500
Sc: 0.000 0.000 0.500
Sc: 0.500 0.500 0.000

Summary:
The symmetry is P4/mmm, No. 123. The spin magnetization comes out at 0.000 μB per atom. As for the crystal system: tetragonal. The formation energy comes out at 0.0495 eV per atom.

2.
A plane-wave DFT calculation with PBE-GGA was carried out for YEr2TmSc4 after structural relaxation.

Cell: 4.841 4.841 9.401 Å, 90.00 90.00 90.00°
Fractional coordinates of all 8 atoms:
Y: 0.000 0.000 0.000
Er: 0.000 0.000 0.500
Er: 0.500 0.500 0.000
Tm: 0.500 0.500 0.500
Sc: 0.000 0.500 0.252
Sc: 0.000 0.500 0.748
Sc: 0.500 0.000 0.252
Sc: 0.500 0.000 0.748

Summary:
The symmetry is P4/mmm, No. 123. The spin magnetization comes out at 0.000 μB per atom. As for the crystal system: tetragonal. The formation energy comes out at 0.0556 eV per atom.

3.
A plane-wave DFT calculation with PBE-GGA was carried out for Y2ErTm2Sc2 after structural relaxation.

Cell: 11.213 3.403 11.486 Å, 90.00 109.06 90.00°
Fractional coordinates of all 14 atoms:
Y: 0.170 0.000 0.088
Y: 0.330 0.500 0.912
Y: 0.670 0.500 0.088
Y: 0.830 0.000 0.912
Er: 0.000 0.500 0.500
Er: 0.500 0.000 0.500
Tm: 0.048 0.000 0.766
Tm: 0.452 0.500 0.234
Tm: 0.548 0.500 0.766
Tm: 0.952 0.000 0.234
Sc: 0.227 0.500 0.367
Sc: 0.273 0.000 0.633
Sc: 0.727 0.000 0.367
Sc: 0.773 0.500 0.633

Summary:
The symmetry is C2/m, No. 12. The spin magnetization comes out at 0.001 μB per atom. As for the crystal system: monoclinic. The formation energy comes out at 0.1088 eV per atom.

4.
A plane-wave DFT calculation with PBE-GGA was carried out for YErTm4Sc2 after structural relaxation.

Cell: 4.876 4.876 9.726 Å, 90.00 90.00 90.00°
Fractional coordinates of all 8 atoms:
Y: 0.000 0.000 0.000
Er: 0.500 0.500 0.500
Tm: 0.000 0.500 0.252
Tm: 0.000 0.500 0.748
Tm: 0.500 0.000 0.252
Tm: 0.500 0.000 0.748
Sc: 0.000 0.000 0.500
Sc: 0.500 0.500 0.000

Summary:
The symmetry is P4/mmm, No. 123. The spin magnetization comes out at 0.000 μB per atom. As for the crystal system: tetragonal. The formation energy comes out at 0.0469 eV per atom.

5.
A plane-wave DFT calculation with PBE-GGA was carried out for YErTm2Sc after structural relaxation.

Cell: 6.865 6.865 7.027 Å, 90.00 90.00 108.08°
Fractional coordinates of all 10 atoms:
Y: 0.236 0.764 0.750
Y: 0.764 0.236 0.250
Er: 0.223 0.777 0.250
Er: 0.777 0.223 0.750
Tm: 0.197 0.197 0.000
Tm: 0.197 0.197 0.500
Tm: 0.803 0.803 0.000
Tm: 0.803 0.803 0.500
Sc: 0.492 0.508 0.250
Sc: 0.508 0.492 0.750

Summary:
The symmetry is Cmcm, No. 63. The spin magnetization comes out at 0.000 μB per atom. As for the crystal system: orthorhombic. The formation energy comes out at 0.3504 eV per atom.

6.
A plane-wave DFT calculation with PBE-GGA was carried out for Y2ErTm5Sc after structural relaxation.

Cell: 10.160 10.160 10.295 Å, 90.00 90.00 148.64°
Fractional coordinates of all 18 atoms:
Y: 0.111 0.889 0.500
Y: 0.113 0.887 0.920
Y: 0.887 0.113 0.420
Y: 0.889 0.111 0.000
Er: 0.411 0.589 0.642
Er: 0.589 0.411 0.142
Tm: 0.019 0.981 0.205
Tm: 0.277 0.723 0.503
Tm: 0.300 0.700 0.890
Tm: 0.380 0.620 0.206
Tm: 0.482 0.518 0.924
Tm: 0.518 0.482 0.424
Tm: 0.620 0.380 0.706
Tm: 0.700 0.300 0.390
Tm: 0.723 0.277 0.003
Tm: 0.981 0.019 0.705
Sc: 0.197 0.803 0.199
Sc: 0.803 0.197 0.699

Summary:
The symmetry is Cmc2_1, No. 36. The spin magnetization comes out at 0.000 μB per atom. As for the crystal system: orthorhombic. The formation energy comes out at 0.1686 eV per atom.

7.
A plane-wave DFT calculation with PBE-GGA was carried out for YEr4TmSc2 after structural relaxation.

Cell: 9.235 9.235 6.617 Å, 110.98 110.98 88.78°
Fractional coordinates of all 16 atoms:
Y: 0.000 0.500 0.000
Y: 0.500 0.000 0.500
Er: 0.230 0.251 0.489
Er: 0.242 0.758 0.508
Er: 0.242 0.758 0.992
Er: 0.251 0.230 0.989
Er: 0.749 0.770 0.011
Er: 0.758 0.242 0.008
Er: 0.758 0.242 0.492
Er: 0.770 0.749 0.511
Tm: 0.500 0.500 0.000
Tm: 0.500 0.500 0.500
Sc: 0.000 0.000 0.000
Sc: 0.000 0.000 0.500
Sc: 0.000 0.500 0.500
Sc: 0.500 0.000 0.000

Summary:
The symmetry is C2/c, No. 15. The spin magnetization comes out at 0.442 μB per atom. As for the crystal system: monoclinic. The formation energy comes out at 0.4552 eV per atom.

8.
A plane-wave DFT calculation with PBE-GGA was carried out for Y3Er6TmSc2 after structural relaxation.

Cell: 6.035 6.035 11.528 Å, 95.00 95.00 119.94°
Fractional coordinates of all 12 atoms:
Y: 0.000 0.000 0.000
Y: 0.333 0.667 0.000
Y: 0.667 0.333 0.000
Er: 0.084 0.419 0.257
Er: 0.245 0.245 0.743
Er: 0.419 0.084 0.257
Er: 0.581 0.916 0.743
Er: 0.755 0.755 0.257
Er: 0.916 0.581 0.743
Tm: 0.500 0.500 0.500
Sc: 0.167 0.833 0.500
Sc: 0.833 0.167 0.500

Summary:
The symmetry is C2/m, No. 12. The spin magnetization comes out at 0.000 μB per atom. As for the crystal system: monoclinic. The formation energy comes out at 0.0421 eV per atom.

9.
A plane-wave DFT calculation with PBE-GGA was carried out for Y3ErTmSc after structural relaxation.

Cell: 10.482 3.500 10.496 Å, 90.00 109.50 90.00°
Fractional coordinates of all 12 atoms:
Y: 0.121 0.250 0.453
Y: 0.369 0.750 0.038
Y: 0.370 0.750 0.709
Y: 0.630 0.250 0.291
Y: 0.631 0.250 0.962
Y: 0.879 0.750 0.547
Er: 0.120 0.250 0.125
Er: 0.880 0.750 0.875
Tm: 0.375 0.750 0.374
Tm: 0.625 0.250 0.626
Sc: 0.123 0.250 0.792
Sc: 0.877 0.750 0.208

Summary:
The symmetry is P2_1/m, No. 11. The spin magnetization comes out at 0.000 μB per atom. As for the crystal system: monoclinic. The formation energy comes out at 0.0436 eV per atom.

10.
A plane-wave DFT calculation with PBE-GGA was carried out for YErTm3Sc after structural relaxation.

Cell: 11.595 11.595 6.004 Å, 104.17 104.17 27.39°
Fractional coordinates of all 12 atoms:
Y: 0.207 0.207 0.383
Y: 0.793 0.793 0.617
Er: 0.450 0.450 0.138
Er: 0.550 0.550 0.862
Tm: 0.044 0.044 0.262
Tm: 0.292 0.292 0.968
Tm: 0.374 0.374 0.543
Tm: 0.626 0.626 0.457
Tm: 0.708 0.708 0.032
Tm: 0.956 0.956 0.738
Sc: 0.130 0.130 0.815
Sc: 0.870 0.870 0.185

Summary:
The symmetry is C2/m, No. 12. The spin magnetization comes out at 0.000 μB per atom. As for the crystal system: monoclinic. The formation energy comes out at 0.0789 eV per atom.

11.
A plane-wave DFT calculation with PBE-GGA was carried out for ErTmScZn after structural relaxation.

Cell: 3.471 3.471 8.238 Å, 90.00 90.00 90.00°
Fractional coordinates of all 4 atoms:
Er: 0.000 0.000 0.000
Tm: 0.000 0.000 0.566
Sc: 0.500 0.500 0.284
Zn: 0.500 0.500 0.781

Summary:
The symmetry is P4mm, No. 99. The spin magnetization comes out at 0.000 μB per atom. As for the crystal system: tetragonal. The formation energy comes out at -0.1501 eV per atom.

12.
A plane-wave DFT calculation with PBE-GGA was carried out for ErTmScZn after structural relaxation.

Cell: 7.305 7.305 7.305 Å, 90.00 90.00 90.00°
Fractional coordinates of all 16 atoms:
Er: 0.000 0.000 0.000
Er: 0.000 0.500 0.500
Er: 0.500 0.000 0.500
Er: 0.500 0.500 0.000
Tm: 0.000 0.000 0.500
Tm: 0.000 0.500 0.000
Tm: 0.500 0.000 0.000
Tm: 0.500 0.500 0.500
Sc: 0.250 0.250 0.750
Sc: 0.250 0.750 0.250
Sc: 0.750 0.250 0.250
Sc: 0.750 0.750 0.750
Zn: 0.250 0.250 0.250
Zn: 0.250 0.750 0.750
Zn: 0.750 0.250 0.750
Zn: 0.750 0.750 0.250

Summary:
The symmetry is F-43m, No. 216. The spin magnetization comes out at 0.000 μB per atom. As for the crystal system: cubic. The formation energy comes out at -0.0007 eV per atom.

- What is the formula in the sixth record?
  Y2ErTm5Sc